Entry a
{"formula": "BTe2OsN", "functional": "PBE-GGA", "state": "relaxed", "lattice_angstrom": [[5.427, 0.000, 0.000], [0.000, 5.427, 0.000], [0.000, 0.000, 2.815]], "species": ["B", "Te", "Te", "Os", "N"], "frac_coords": [[0.000, 0.000, 0.000], [0.000, 0.500, 0.000], [0.500, 0.000, 0.000], [0.500, 0.500, 0.500], [0.000, 0.000, 0.500]], "spacegroup": "P4/mmm (123)"}

=====

Entry b
{"formula": "BTe2OsN", "functional": "PBE-GGA", "state": "relaxed", "lattice_angstrom": [[5.431, 0.000, 0.000], [0.000, 5.431, 0.000], [0.000, 0.000, 3.648]], "species": ["B", "Te", "Te", "Os", "N"], "frac_coords": [[0.000, 0.000, 0.000], [0.000, 0.500, 0.500], [0.500, 0.000, 0.500], [0.500, 0.500, 0.500], [0.500, 0.500, 0.000]], "spacegroup": "P4/mmm (123)"}

=====

Unit: eV/atom. Relative energies: entry a 0.000; entry b 0.321.

=====

Entry a
{"formula": "PaBN", "functional": "PBE-GGA", "state": "relaxed", "lattice_angstrom": [[-1.444, 3.084, 3.789], [1.444, -3.084, 3.789], [1.444, 3.084, -3.789]], "species": ["Pa", "Pa", "B", "B", "N", "N"], "frac_coords": [[0.227, 0.227, 0.000], [0.773, 0.773, 0.000], [0.356, 0.000, 0.356], [0.644, 0.000, 0.644], [0.238, 0.500, 0.738], [0.762, 0.500, 0.262]], "spacegroup": "Immm (71)"}

=====

Entry b
{"formula": "PaBN", "functional": "PBE-GGA", "state": "relaxed", "lattice_angstrom": [[-1.827, 1.827, 3.078], [1.827, -1.827, 3.078], [1.827, 1.827, -3.078]], "species": ["Pa", "B", "N"], "frac_coords": [[0.000, 0.000, 0.000], [0.600, 0.600, 0.000], [0.373, 0.373, 0.000]], "spacegroup": "I4mm (107)"}

=====

Entry c
{"formula": "PaBN", "functional": "PBE-GGA", "state": "relaxed", "lattice_angstrom": [[1.831, -5.946, 0.000], [1.831, 5.946, 0.000], [0.000, 0.000, 3.352]], "species": ["Pa", "Pa", "B", "B", "N", "N"], "frac_coords": [[0.137, 0.863, 0.750], [0.863, 0.137, 0.250], [0.466, 0.534, 0.750], [0.534, 0.466, 0.250], [0.338, 0.662, 0.750], [0.662, 0.338, 0.250]], "spacegroup": "Cmcm (63)"}

=====

Unit: eV/atom. Relative energies: entry a 0.596; entry b 0.499; entry c 0.000.

=====

Entry a
{"formula": "PaBN2", "functional": "PBE-GGA", "state": "relaxed", "lattice_angstrom": [[1.743, 1.007, 5.451], [-1.743, 1.007, 5.451], [0.000, -2.013, 5.451]], "species": ["Pa", "B", "N", "N"], "frac_coords": [[0.000, 0.000, 0.000], [0.500, 0.500, 0.500], [0.418, 0.418, 0.418], [0.582, 0.582, 0.582]], "spacegroup": "R-3m (166)"}

=====

Entry b
{"formula": "PaBN2", "functional": "PBE-GGA", "state": "relaxed", "lattice_angstrom": [[3.092, -2.778, 0.000], [3.092, 2.778, 0.000], [-2.873, 0.000, 6.075]], "species": ["Pa", "Pa", "B", "B", "N", "N", "N", "N"], "frac_coords": [[0.138, 0.862, 0.750], [0.862, 0.138, 0.250], [0.352, 0.648, 0.250], [0.648, 0.352, 0.750], [0.129, 0.672, 0.381], [0.328, 0.871, 0.119], [0.672, 0.129, 0.881], [0.871, 0.328, 0.619]], "spacegroup": "C2/c (15)"}

=====

Unit: eV/atom. Relative energies: entry a 0.142; entry b 0.000.

=====

Entry a
{"formula": "B2PbN", "functional": "PBE-GGA", "state": "relaxed", "lattice_angstrom": [[-2.321, 2.321, 4.343], [2.321, -2.321, 4.343], [2.321, 2.321, -4.343]], "species": ["B", "B", "B", "B", "Pb", "Pb", "N", "N"], "frac_coords": [[0.375, 0.240, 0.365], [0.760, 0.125, 0.135], [0.875, 0.010, 0.635], [0.990, 0.625, 0.865], [0.250, 0.750, 0.500], [0.500, 0.500, 0.000], [0.000, 0.000, 0.000], [0.750, 0.250, 0.500]], "spacegroup": "I-42d (122)"}

=====

Entry b
{"formula": "B2PbN", "functional": "PBE-GGA", "state": "relaxed", "lattice_angstrom": [[0.000, 2.976, 2.976], [2.976, 0.000, 2.976], [2.976, 2.976, 0.000]], "species": ["B", "B", "Pb", "N"], "frac_coords": [[0.250, 0.250, 0.250], [0.750, 0.750, 0.750], [0.000, 0.000, 0.000], [0.500, 0.500, 0.500]], "spacegroup": "Fm-3m (225)"}

=====

Unit: eV/atom. Relative energies: entry a 0.000; entry b 1.778.

=====

Entry a
{"formula": "BPbN2", "functional": "PBE-GGA", "state": "relaxed", "lattice_angstrom": [[-2.480, 2.480, 3.593], [2.480, -2.480, 3.593], [2.480, 2.480, -3.593]], "species": ["B", "B", "Pb", "Pb", "N", "N", "N", "N"], "frac_coords": [[0.000, 0.000, 0.000], [0.750, 0.250, 0.500], [0.250, 0.750, 0.500], [0.500, 0.500, 0.000], [0.375, 0.225, 0.350], [0.775, 0.125, 0.150], [0.875, 0.025, 0.650], [0.975, 0.625, 0.850]], "spacegroup": "I-42d (122)"}

=====

Entry b
{"formula": "BPbN2", "functional": "PBE-GGA", "state": "relaxed", "lattice_angstrom": [[1.897, 1.095, 5.110], [-1.897, 1.095, 5.110], [0.000, -2.191, 5.110]], "species": ["B", "Pb", "N", "N"], "frac_coords": [[0.000, 0.000, 0.000], [0.500, 0.500, 0.500], [0.088, 0.088, 0.088], [0.912, 0.912, 0.912]], "spacegroup": "R-3m (166)"}

=====

Unit: eV/atom. Relative energies: entry a 0.143; entry b 0.000.

=====

Entry a
{"formula": "BPbSN2", "functional": "PBE-GGA", "state": "relaxed", "lattice_angstrom": [[4.544, 0.000, 0.000], [0.000, 4.544, 0.000], [0.000, 0.000, 5.300]], "species": ["B", "Pb", "S", "N", "N"], "frac_coords": [[0.000, 0.000, 0.000], [0.500, 0.500, 0.500], [0.500, 0.500, 0.000], [0.000, 0.500, 0.500], [0.500, 0.000, 0.500]], "spacegroup": "P4/mmm (123)"}

=====

Entry b
{"formula": "BPbSN2", "functional": "PBE-GGA", "state": "relaxed", "lattice_angstrom": [[3.565, 0.000, 0.000], [0.000, 3.565, 0.000], [0.000, 0.000, 5.319]], "species": ["B", "Pb", "S", "N", "N"], "frac_coords": [[0.000, 0.000, 0.000], [0.500, 0.500, 0.500], [0.000, 0.000, 0.500], [0.000, 0.500, 0.000], [0.500, 0.000, 0.000]], "spacegroup": "P4/mmm (123)"}

=====

Unit: eV/atom. Relative energies: entry a 1.128; entry b 0.000.